Density functional theory data (PBE-GGA) for a relaxed structure of Rb2UHgTe4.

a b c (Å): 6.806 8.551 14.062
angles (deg): 84.47 76.00 66.55
Fractional positions:
1 Rb 0.182 0.000 0.636
2 Rb 0.818 0.000 0.364
3 Rb 0.568 0.500 0.864
4 Rb 0.932 0.500 0.136
5 U 0.750 0.500 0.500
6 U 0.000 0.000 0.000
7 Hg 0.250 0.500 0.500
8 Hg 0.500 0.000 0.000
9 Te 0.304 0.774 0.115
10 Te 0.193 0.226 0.885
11 Te 0.922 0.774 0.885
12 Te 0.581 0.226 0.115
13 Te 0.446 0.726 0.385
14 Te 0.557 0.274 0.615
15 Te 0.828 0.726 0.615
16 Te 0.169 0.274 0.385

Values from the calculation:
M_tot	2.00	μB/f.u.
formation energy (no corrections)	-595	meV per atom

=====

Density functional theory data (PBE-GGA) for a relaxed structure of RbVHgTe2.

a b c (Å): 5.392 5.392 5.547
angles (deg): 90.00 90.00 90.00
Fractional positions:
1 Te 0.000 0.500 0.000
2 Te 0.500 0.000 0.000
3 Hg 0.000 0.000 0.500
4 Rb 0.500 0.500 0.500
5 V 0.000 0.000 0.000

Values from the calculation:
M_tot	1.83	μB/f.u.
formation energy (no corrections)	-282	meV per atom

=====

Density functional theory data (PBE-GGA) for a relaxed structure of RbYHgTe3.

a b c (Å): 4.537 9.684 11.015
angles (deg): 109.03 90.00 90.00
Fractional positions:
1 Rb 0.250 0.221 0.255
2 Rb 0.750 0.779 0.745
3 Y 0.250 0.673 0.137
4 Y 0.750 0.327 0.863
5 Hg 0.250 0.086 0.614
6 Hg 0.750 0.914 0.386
7 Te 0.750 0.895 0.126
8 Te 0.250 0.105 0.874
9 Te 0.250 0.763 0.450
10 Te 0.750 0.237 0.550
11 Te 0.750 0.464 0.155
12 Te 0.250 0.536 0.845

Values from the calculation:
M_tot	0.00	μB/f.u.
formation energy (no corrections)	-963	meV per atom

=====

Density functional theory data (PBE-GGA) for a relaxed structure of Rb2YHg2Te4.

a b c (Å): 4.522 9.008 9.102
angles (deg): 112.45 104.38 90.00
Fractional positions:
1 Rb 0.129 0.580 0.259
2 Rb 0.871 0.420 0.741
3 Y 0.000 0.000 0.000
4 Hg 0.687 0.006 0.374
5 Hg 0.313 0.994 0.626
6 Te 0.186 0.221 0.373
7 Te 0.814 0.779 0.627
8 Te 0.517 0.772 0.033
9 Te 0.483 0.228 0.967

Values from the calculation:
M_tot	0.00	μB/f.u.
formation energy (no corrections)	-794	meV per atom

=====

Density functional theory data (PBE-GGA) for a relaxed structure of Rb2ZnHgTe.

a b c (Å): 6.844 5.749 6.844
angles (deg): 90.00 90.00 90.00
Fractional positions:
1 Zn 0.500 0.500 0.500
2 Te 0.000 0.500 0.000
3 Hg 0.000 0.000 0.000
4 Rb 0.000 0.000 0.500
5 Rb 0.500 0.000 0.000

Values from the calculation:
M_tot	0.00	μB/f.u.
formation energy (no corrections)	-123	meV per atom

=====

Density functional theory data (PBE-GGA) for a relaxed structure of RbThHg2.

a b c (Å): 3.894 3.894 8.805
angles (deg): 90.00 90.00 90.00
Fractional positions:
1 Rb 0.500 0.500 0.500
2 Hg 0.000 0.000 0.798
3 Hg 0.000 0.000 0.202
4 Th 0.500 0.500 0.000

Values from the calculation:
M_tot	0.00	μB/f.u.
formation energy	-0.121	eV/atom
relative energy among the computed polymorphs	0.0	meV per atom

=====

Q: M_tot of number 6 (RbThHg2)?
A: 0.00 μB/f.u.